Record 1
A relaxed structure of AcTc3B3. Source: the Alexandria database, functional PBE-GGA.

Summary:
SG: P6_3/m, No. 176
ΔE_f: 0.128 eV per atom
M_tot: 0.0 μB/f.u.
DOS(E_F): 0.459 states/eV/atom

Unit cell a=8.7014 b=8.7014 c=3.0455 alpha=90.00 beta=90.00 gamma=120.00
Last column: nearest neighbours and their distance in Å.
Positions (direct):
Ac (0.3333, 0.6667, 0.2500)  9 B 2.71-2.81
Ac (0.6667, 0.3333, 0.7500)  9 B 2.71-2.81
Tc (0.0281, 0.7379, 0.7500)  3 B 2.22-2.33
Tc (0.2621, 0.2902, 0.7500)  3 B 2.22-2.33
Tc (0.2902, 0.0281, 0.2500)  3 B 2.22-2.33
Tc (0.7098, 0.9719, 0.7500)  3 B 2.22-2.33
Tc (0.7379, 0.7098, 0.2500)  3 B 2.22-2.33
Tc (0.9719, 0.2621, 0.2500)  3 B 2.22-2.33
B (0.0234, 0.4683, 0.7500)  2 B 1.74
B (0.4448, 0.9766, 0.7500)  2 B 1.74
B (0.4683, 0.4448, 0.2500)  2 B 1.74
B (0.5317, 0.5552, 0.7500)  2 B 1.74
B (0.5552, 0.0234, 0.2500)  2 B 1.74
B (0.9766, 0.5317, 0.2500)  2 B 1.74

---

Record 2
A relaxed structure of AcThB12. Source: the Alexandria database, functional PBE-GGA.

Summary:
SG: P4/mmm, No. 123
ΔE_f: -0.510 eV per atom
M_tot: 0.0 μB/f.u.
DOS(E_F): 0.140 states/eV/atom

Unit cell a=4.1542 b=4.1542 c=8.3220 alpha=90.00 beta=90.00 gamma=90.00
Last column: nearest neighbours and their distance in Å.
Positions (direct):
Ac (0.0000, 0.0000, 0.0000)  24 B 3.06-3.07
Th (0.0000, 0.0000, 0.5000)  24 B 3.04-3.05
B (0.1987, 0.5000, 0.2530)  5 B 1.65-1.78
B (0.1987, 0.5000, 0.7470)  5 B 1.65-1.78
B (0.5000, 0.1987, 0.2530)  5 B 1.65-1.78
B (0.5000, 0.1987, 0.7470)  5 B 1.65-1.78
B (0.5000, 0.5000, 0.1012)  5 B 1.68-1.78
B (0.5000, 0.5000, 0.4020)  5 B 1.63-1.76
B (0.5000, 0.5000, 0.5980)  5 B 1.63-1.76
B (0.5000, 0.5000, 0.8988)  5 B 1.68-1.78
B (0.5000, 0.8013, 0.2530)  5 B 1.65-1.78
B (0.5000, 0.8013, 0.7470)  5 B 1.65-1.78
B (0.8013, 0.5000, 0.2530)  5 B 1.65-1.78
B (0.8013, 0.5000, 0.7470)  5 B 1.65-1.78

---

Record 3
A relaxed structure of AcTmB4. Source: the Alexandria database, functional PBE-GGA.

Summary:
SG: Pbam, No. 55
ΔE_f: -0.185 eV per atom
M_tot: 0.0 μB/f.u.
DOS(E_F): 0.365 states/eV/atom

Unit cell a=6.4375 b=12.4538 c=4.1437 alpha=90.00 beta=90.00 gamma=90.00
Last column: nearest neighbours and their distance in Å.
Positions (direct):
Ac (0.1289, 0.1517, 0.0000)  14 B 2.97-3.08, 2 Tm 3.21-3.23
Ac (0.3711, 0.6517, 0.0000)  14 B 2.97-3.08, 2 Tm 3.21-3.23
Ac (0.6289, 0.3483, 0.0000)  14 B 2.97-3.08, 2 Tm 3.21-3.23
Ac (0.8711, 0.8483, 0.0000)  14 B 2.97-3.08, 2 Tm 3.21-3.23
Tm (0.1405, 0.4092, 0.0000)  10 B 2.60-2.69, 1 Tm 2.90
Tm (0.3595, 0.9092, 0.0000)  10 B 2.60-2.69, 1 Tm 2.90
Tm (0.6405, 0.0908, 0.0000)  10 B 2.60-2.69, 1 Tm 2.90
Tm (0.8595, 0.5908, 0.0000)  10 B 2.60-2.69, 1 Tm 2.90
B (0.0332, 0.6912, 0.5000)  2 B 1.86-1.88
B (0.1122, 0.5455, 0.5000)  3 B 1.84-1.89
B (0.1316, 0.9715, 0.5000)  3 B 1.84-2.05
B (0.2063, 0.8112, 0.5000)  2 B 1.86-2.05
B (0.2937, 0.3112, 0.5000)  2 B 1.86-2.05
B (0.3684, 0.4715, 0.5000)  3 B 1.84-2.05
B (0.3878, 0.0455, 0.5000)  3 B 1.84-1.89
B (0.4668, 0.1911, 0.5000)  2 B 1.86-1.88
B (0.5332, 0.8088, 0.5000)  2 B 1.86-1.88
B (0.6122, 0.9545, 0.5000)  3 B 1.84-1.89
B (0.6316, 0.5285, 0.5000)  3 B 1.84-2.05
B (0.7063, 0.6888, 0.5000)  2 B 1.86-2.05
B (0.7937, 0.1888, 0.5000)  2 B 1.86-2.05
B (0.8684, 0.0285, 0.5000)  3 B 1.84-2.05
B (0.8878, 0.4545, 0.5000)  3 B 1.84-1.89
B (0.9668, 0.3088, 0.5000)  2 B 1.86-1.88

---

Record 4
A relaxed structure of AcTmB12. Source: the Alexandria database, functional PBE-GGA.

Summary:
SG: P4/mmm, No. 123
ΔE_f: -0.439 eV per atom
M_tot: 0.0 μB/f.u.
DOS(E_F): 0.094 states/eV/atom

Unit cell a=4.1456 b=4.1456 c=8.2826 alpha=90.00 beta=90.00 gamma=90.00
Last column: nearest neighbours and their distance in Å.
Positions (direct):
Ac (0.0000, 0.0000, 0.0000)  24 B 3.05-3.07
Tm (0.0000, 0.0000, 0.5000)  24 B 3.02-3.04
B (0.1995, 0.5000, 0.2550)  5 B 1.65-1.78
B (0.1995, 0.5000, 0.7450)  5 B 1.65-1.78
B (0.5000, 0.1995, 0.2550)  5 B 1.65-1.78
B (0.5000, 0.1995, 0.7450)  5 B 1.65-1.78
B (0.5000, 0.5000, 0.1021)  5 B 1.69-1.78
B (0.5000, 0.5000, 0.4025)  5 B 1.61-1.74
B (0.5000, 0.5000, 0.5975)  5 B 1.61-1.74
B (0.5000, 0.5000, 0.8979)  5 B 1.69-1.78
B (0.5000, 0.8005, 0.2550)  5 B 1.65-1.78
B (0.5000, 0.8005, 0.7450)  5 B 1.65-1.78
B (0.8005, 0.5000, 0.2550)  5 B 1.65-1.78
B (0.8005, 0.5000, 0.7450)  5 B 1.65-1.78

---

Record 5
A relaxed structure of AcTm3B. Source: the Alexandria database, functional PBE-GGA.

Summary:
SG: Pm-3m, No. 221
ΔE_f: 0.040 eV per atom
M_tot: 0.0 μB/f.u.
DOS(E_F): 1.149 states/eV/atom

Unit cell a=5.1741 b=5.1741 c=5.1741 alpha=90.00 beta=90.00 gamma=90.00
Last column: nearest neighbours and their distance in Å.
Positions (direct):
Ac (0.0000, 0.0000, 0.0000)  12 Tm 3.66
Tm (0.0000, 0.5000, 0.5000)  2 B 2.59
Tm (0.5000, 0.0000, 0.5000)  2 B 2.59
Tm (0.5000, 0.5000, 0.0000)  2 B 2.59
B (0.5000, 0.5000, 0.5000)  6 Tm 2.59

---

Record 6
A relaxed structure of AcTmB. Source: the Alexandria database, functional PBE-GGA.

Summary:
SG: C2/m, No. 12
ΔE_f: 0.040 eV per atom
M_tot: 0.0 μB/f.u.
DOS(E_F): 1.111 states/eV/atom

Unit cell a=13.4528 b=3.3328 c=7.3386 alpha=90.00 beta=94.48 gamma=90.00
Last column: nearest neighbours and their distance in Å.
Positions (direct):
Ac (0.1480, 0.0000, 0.1679)  3 B 2.84-3.08
Ac (0.3520, 0.5000, 0.8321)  3 B 2.84-3.08
Ac (0.6480, 0.5000, 0.1679)  3 B 2.84-3.08
Ac (0.8520, 0.0000, 0.8321)  3 B 2.84-3.08
Tm (0.1108, 0.0000, 0.6524)  3 B 2.54-2.59
Tm (0.3892, 0.5000, 0.3476)  3 B 2.54-2.59
Tm (0.6108, 0.5000, 0.6524)  3 B 2.54-2.59
Tm (0.8892, 0.0000, 0.3476)  3 B 2.54-2.59
B (0.2268, 0.5000, 0.5020)  2 B 1.78
B (0.2732, 0.0000, 0.4980)  2 B 1.78
B (0.7268, 0.0000, 0.5020)  2 B 1.78
B (0.7732, 0.5000, 0.4980)  2 B 1.78

---

Q: Among the records above, which one has the highest ΔE_f?
A: AcTc3B3

---

Q: Which value of ΔE_f does entry 2 give?
A: -0.510 eV per atom

---

Q: Which of these has the highest ΔE_f?
A: AcTc3B3